# SmDy2Y6Tm3

An optimized crystal structure of SmDy2Y6Tm3 (PBE-GGA, the Alexandria database).

Cell and atoms, written as POSCAR:
```
SmDy2Y6Tm3
1.0
-2.699 1.539 -5.304
5.501 -2.742 -0.040
-6.101 -9.968 1.397
Dy Y Tm Sm
2 6 3 1
Direct
0.667 0.333 0.000 Dy
0.333 0.667 0.000 Dy
0.418 0.084 0.252 Y
0.751 0.751 0.252 Y
0.084 0.418 0.252 Y
0.582 0.916 0.748 Y
0.249 0.249 0.748 Y
0.916 0.582 0.748 Y
0.833 0.167 0.500 Tm
0.167 0.833 0.500 Tm
0.500 0.500 0.500 Tm
0.000 0.000 0.000 Sm
```

## Properties
formation energy from the elements = 0.3 eV per formula unit